# 1
Compound: Pr2ErSn3
Source: Alexandria via LeMat-Bulk
Functional: PBE-GGA
Structure: relaxed

Calculated values
SG	C2/c
theoretical density	7.18	g cm⁻³
total magnetic moment	0.00	μB/f.u.

abc: 6.3655 7.3764 8.7465
angles: 102.11 111.34 90.00
Positions (direct):
Sn (0.8372, 0.9197, 0.6780)
Er (0.0074, 0.2500, 0.0000)
Sn (0.5080, 0.2500, 0.0000)
Sn (0.1591, 0.5803, 0.3220)
Sn (0.1628, 0.0803, 0.3220)
Pr (0.6699, 0.0842, 0.3361)
Er (0.9926, 0.7500, 0.0000)
Sn (0.4920, 0.7500, 0.0000)
Pr (0.6662, 0.5842, 0.3361)
Pr (0.3338, 0.4158, 0.6639)
Pr (0.3301, 0.9158, 0.6639)
Sn (0.8409, 0.4197, 0.6780)

***

# 2
Compound: MnAlH2
Source: Alexandria via LeMat-Bulk
Functional: PBE-GGA
Structure: relaxed

Calculated values
SG	I-42d
distance to the lowest polymorph of the same formula	0.012	eV per atom
theoretical density	4.26	g cm⁻³
total magnetic moment	1.93	μB/f.u.

abc: 3.9876 3.9876 4.9919
angles: 66.46 66.46 90.00
Last column: magnetic moment on the atom in μB.
Positions (direct):
H (0.8750, 0.9169, 0.7500)  -0.02
Mn (0.7500, 0.2500, 0.5000)  2.09
H (0.6669, 0.1250, 0.2500)  -0.02
Mn (0.0000, 0.0000, 0.0000)  2.10
H (0.0831, 0.6250, 0.2500)  -0.01
Al (0.5000, 0.5000, 0.0000)  -0.05
Al (0.2500, 0.7500, 0.5000)  -0.05
H (0.3750, 0.3331, 0.7500)  -0.01

***

# 3
Compound: Pr3Ho4Al4
Source: Alexandria via LeMat-Bulk
Functional: PBE-GGA
Structure: relaxed

Calculated values
SG	Immm
theoretical density	6.37	g cm⁻³
total magnetic moment	0.00	μB/f.u.

abc: 5.1432 7.1626 9.5063
angles: 112.13 105.70 90.00
Positions (direct):
Ho (0.3220, 0.0959, 0.6440)
Ho (0.6780, 0.9041, 0.3560)
Ho (0.3220, 0.5481, 0.6440)
Al (0.5000, 0.8108, 0.0000)
Al (0.8151, 0.3151, 0.6302)
Ho (0.6780, 0.4519, 0.3560)
Al (0.1849, 0.6849, 0.3698)
Pr (0.1076, 0.1076, 0.2151)
Pr (0.8924, 0.8924, 0.7849)
Pr (0.0000, 0.5000, 0.0000)
Al (0.5000, 0.1892, 0.0000)

***

# 4
Compound: Hg2IrOs
Source: Alexandria via LeMat-Bulk
Functional: PBE-GGA
Structure: relaxed

Calculated values
SG	Pmmm
distance to the lowest polymorph of the same formula	0.394	eV per atom
theoretical density	18.55	g cm⁻³
total magnetic moment	0.02	μB/f.u.

abc: 2.8837 4.9928 4.8715
angles: 90.00 90.00 90.00
Positions (direct):
Ir (0.5000, 0.0000, 0.5000)
Hg (0.5000, 0.5000, 0.0000)
Hg (0.0000, 0.0000, 0.0000)
Os (0.0000, 0.5000, 0.5000)

***

# 5
Compound: AcPmTeAs
Source: Alexandria via LeMat-Bulk
Functional: PBE-GGA
Structure: relaxed

Calculated values
SG	F-43m
distance to the lowest polymorph of the same formula	0.347	eV per atom
formation energy without anion corrections	-460	kJ/mol of formula units
theoretical density	8.19	g cm⁻³
total magnetic moment	0.42	μB/f.u.

abc: 5.4829 5.4829 5.4829
angles: 60.00 60.00 60.00
Last column: magnetic moment on the atom in μB.
Positions (direct):
Ac (0.2500, 0.2500, 0.2500)  0.06
Pm (0.7500, 0.7500, 0.7500)  0.14
Te (0.5000, 0.5000, 0.5000)  0.00
As (0.0000, 0.0000, 0.0000)  0.00

***

# 6
Compound: Tc2MoW
Source: Alexandria via LeMat-Bulk
Functional: PBE-GGA
Structure: relaxed

Calculated values
SG	I-4m2
distance to the lowest polymorph of the same formula	0.140	eV per atom
theoretical density	12.83	g cm⁻³
total magnetic moment	0.00	μB/f.u.

abc: 4.8616 4.8616 4.8616
angles: 132.33 132.33 69.71
Positions (direct):
W (0.5000, 0.5000, 0.0000)
Tc (0.2500, 0.7500, 0.5000)
Tc (0.0000, 0.0000, 0.0000)
Mo (0.7500, 0.2500, 0.5000)

***

no.,raw total energy (eV per atom)
1,-4.921
2,-4.797
3,-4.524
4,-4.358
5,-5.354
6,-10.921